1.
A geometry-optimized Co124Pb structure, computed with PBE-GGA.

Lattice parameters (Å, degrees): 12.4063 12.4063 12.4063 60.00 60.00 60.00
Last column: nearest neighbours and their distance in Å.
Fractional positions:
Co 0.0978 0.5004 0.7009  12 Co 2.43-2.50
Co 0.0978 0.7009 0.5004  12 Co 2.43-2.50
Co 0.0978 0.7009 0.7009  12 Co 2.43-2.50
Co 0.0990 0.5000 0.5000  12 Co 2.36-2.49
Co 0.0990 0.5000 0.9010  12 Co 2.36-2.49
Co 0.0990 0.9010 0.5000  12 Co 2.36-2.49
Co 0.1000 0.1000 0.1000  12 Co 2.48
Co 0.1002 0.1002 0.2997  12 Co 2.46-2.49
Co 0.1002 0.1002 0.5000  12 Co 2.46-2.49
Co 0.1000 0.1000 0.6999  12 Co 2.48
Co 0.1001 0.1001 0.8999  12 Co 2.48
Co 0.1002 0.2997 0.1002  12 Co 2.46-2.49
Co 0.1002 0.2997 0.5000  12 Co 2.46-2.49
Co 0.1000 0.3000 0.7000  12 Co 2.48-2.49
Co 0.1000 0.3000 0.9000  12 Co 2.48-2.49
Co 0.1002 0.5000 0.1002  12 Co 2.46-2.49
Co 0.1002 0.5000 0.2997  12 Co 2.46-2.49
Co 0.1000 0.6999 0.1000  12 Co 2.48
Co 0.1000 0.7000 0.3000  12 Co 2.48-2.49
Co 0.1000 0.7000 0.9000  12 Co 2.48-2.49
Co 0.1001 0.8999 0.1001  12 Co 2.48
Co 0.1000 0.9000 0.3000  12 Co 2.48-2.49
Co 0.1000 0.9000 0.7000  12 Co 2.48-2.49
Co 0.1001 0.8999 0.8999  12 Co 2.48
Co 0.1006 0.2998 0.2998  12 Co 2.47-2.48
Co 0.2889 0.5000 0.5000  11 Co 2.36-2.62, 1 Pb 2.62
Co 0.2889 0.5000 0.7111  11 Co 2.36-2.62, 1 Pb 2.62
Co 0.2889 0.7111 0.5000  11 Co 2.36-2.62, 1 Pb 2.62
Co 0.2991 0.2991 0.4996  12 Co 2.43-2.50
Co 0.2991 0.2991 0.9022  12 Co 2.43-2.50
Co 0.2991 0.4996 0.2991  12 Co 2.43-2.50
Co 0.2991 0.4996 0.9022  12 Co 2.43-2.50
Co 0.2991 0.9022 0.2991  12 Co 2.43-2.50
Co 0.2991 0.9022 0.4996  12 Co 2.43-2.50
Co 0.2997 0.1002 0.1002  12 Co 2.46-2.49
Co 0.2997 0.1002 0.5000  12 Co 2.46-2.49
Co 0.3000 0.1000 0.7000  12 Co 2.48-2.49
Co 0.3000 0.1000 0.9000  12 Co 2.48-2.49
Co 0.2998 0.1006 0.2998  12 Co 2.47-2.48
Co 0.2998 0.2998 0.1006  12 Co 2.47-2.48
Co 0.2998 0.2998 0.2998  12 Co 2.47-2.48
Co 0.3005 0.3005 0.6995  12 Co 2.48-2.50
Co 0.2997 0.5000 0.1002  12 Co 2.46-2.49
Co 0.3000 0.7000 0.1000  12 Co 2.48-2.49
Co 0.3005 0.6995 0.3005  12 Co 2.48-2.50
Co 0.3005 0.6995 0.6995  12 Co 2.48-2.50
Co 0.3000 0.7000 0.9000  12 Co 2.48-2.49
Co 0.3000 0.9000 0.1000  12 Co 2.48-2.49
Co 0.3000 0.9000 0.7000  12 Co 2.48-2.49
Co 0.3001 0.9000 0.9000  12 Co 2.48
Co 0.5004 0.0978 0.7009  12 Co 2.43-2.50
Co 0.5000 0.0990 0.5000  12 Co 2.36-2.49
Co 0.5000 0.0990 0.9010  12 Co 2.36-2.49
Co 0.5000 0.1002 0.1002  12 Co 2.46-2.49
Co 0.5000 0.1002 0.2997  12 Co 2.46-2.49
Co 0.5000 0.2889 0.5000  11 Co 2.36-2.62, 1 Pb 2.62
Co 0.5000 0.2889 0.7111  11 Co 2.36-2.62, 1 Pb 2.62
Co 0.4996 0.2991 0.2991  12 Co 2.43-2.50
Co 0.4996 0.2991 0.9022  12 Co 2.43-2.50
Co 0.5000 0.2997 0.1002  12 Co 2.46-2.49
Co 0.5000 0.5000 0.0990  12 Co 2.36-2.49
Co 0.5000 0.5000 0.2889  11 Co 2.36-2.62, 1 Pb 2.62
Co 0.5000 0.5000 0.7111  11 Co 2.36-2.62, 1 Pb 2.62
Co 0.5000 0.5000 0.9010  12 Co 2.36-2.49
Co 0.5000 0.7003 0.8998  12 Co 2.46-2.49
Co 0.5004 0.7009 0.0978  12 Co 2.43-2.50
Co 0.5004 0.7009 0.7009  12 Co 2.43-2.50
Co 0.5000 0.7111 0.2889  11 Co 2.36-2.62, 1 Pb 2.62
Co 0.5000 0.7111 0.5000  11 Co 2.36-2.62, 1 Pb 2.62
Co 0.5000 0.8998 0.7003  12 Co 2.46-2.49
Co 0.5000 0.8998 0.8998  12 Co 2.46-2.49
Co 0.5000 0.9010 0.0990  12 Co 2.36-2.49
Co 0.5000 0.9010 0.5000  12 Co 2.36-2.49
Co 0.4996 0.9022 0.2991  12 Co 2.43-2.50
Co 0.6999 0.1000 0.1000  12 Co 2.48
Co 0.7000 0.1000 0.3000  12 Co 2.48-2.49
Co 0.7000 0.1000 0.9000  12 Co 2.48-2.49
Co 0.7000 0.3000 0.1000  12 Co 2.48-2.49
Co 0.6995 0.3005 0.3005  12 Co 2.48-2.50
Co 0.6995 0.3005 0.6995  12 Co 2.48-2.50
Co 0.7000 0.3000 0.9000  12 Co 2.48-2.49
Co 0.7003 0.5000 0.8998  12 Co 2.46-2.49
Co 0.6995 0.6995 0.3005  12 Co 2.48-2.50
Co 0.7002 0.7002 0.7002  12 Co 2.47-2.48
Co 0.7002 0.7002 0.8994  12 Co 2.47-2.48
Co 0.7002 0.8994 0.7002  12 Co 2.47-2.48
Co 0.7000 0.9000 0.1000  12 Co 2.48-2.49
Co 0.7000 0.9000 0.3000  12 Co 2.48-2.49
Co 0.7003 0.8998 0.5000  12 Co 2.46-2.49
Co 0.7003 0.8998 0.8998  12 Co 2.46-2.49
Co 0.7009 0.0978 0.5004  12 Co 2.43-2.50
Co 0.7009 0.0978 0.7009  12 Co 2.43-2.50
Co 0.7009 0.5004 0.0978  12 Co 2.43-2.50
Co 0.7009 0.5004 0.7009  12 Co 2.43-2.50
Co 0.7009 0.7009 0.0978  12 Co 2.43-2.50
Co 0.7009 0.7009 0.5004  12 Co 2.43-2.50
Co 0.7111 0.2889 0.5000  11 Co 2.36-2.62, 1 Pb 2.62
Co 0.7111 0.5000 0.2889  11 Co 2.36-2.62, 1 Pb 2.62
Co 0.7111 0.5000 0.5000  11 Co 2.36-2.62, 1 Pb 2.62
Co 0.8994 0.7002 0.7002  12 Co 2.47-2.48
Co 0.8999 0.1001 0.1001  12 Co 2.48
Co 0.9000 0.1000 0.3000  12 Co 2.48-2.49
Co 0.9000 0.1000 0.7000  12 Co 2.48-2.49
Co 0.8999 0.1001 0.8999  12 Co 2.48
Co 0.9000 0.3000 0.1000  12 Co 2.48-2.49
Co 0.9000 0.3000 0.7000  12 Co 2.48-2.49
Co 0.9000 0.3001 0.9000  12 Co 2.48
Co 0.8998 0.5000 0.7003  12 Co 2.46-2.49
Co 0.8998 0.5000 0.8998  12 Co 2.46-2.49
Co 0.9000 0.7000 0.1000  12 Co 2.48-2.49
Co 0.9000 0.7000 0.3000  12 Co 2.48-2.49
Co 0.8998 0.7003 0.5000  12 Co 2.46-2.49
Co 0.8998 0.7003 0.8998  12 Co 2.46-2.49
Co 0.8999 0.8999 0.1001  12 Co 2.48
Co 0.9000 0.9000 0.3001  12 Co 2.48
Co 0.8998 0.8998 0.5000  12 Co 2.46-2.49
Co 0.8998 0.8998 0.7003  12 Co 2.46-2.49
Co 0.9000 0.9000 0.9000  12 Co 2.48
Co 0.9010 0.0990 0.5000  12 Co 2.36-2.49
Co 0.9010 0.5000 0.0990  12 Co 2.36-2.49
Co 0.9010 0.5000 0.5000  12 Co 2.36-2.49
Co 0.9022 0.2991 0.2991  12 Co 2.43-2.50
Co 0.9022 0.2991 0.4996  12 Co 2.43-2.50
Co 0.9022 0.4996 0.2991  12 Co 2.43-2.50
Pb 0.5000 0.5000 0.5000  12 Co 2.62

Output
Crystal system: cubic
ρ (Mg/m³): 9.24
Uncorrected energy (eV per atom): -7.04
Symmetry: No. 225



2.
A geometry-optimized CdGaHg2 structure, computed with PBE-GGA.

Lattice parameters (Å, degrees): 5.1251 5.1251 5.1251 60.00 60.00 60.00
Last column: nearest neighbours and their distance in Å.
Fractional positions:
Cd 0.0000 0.0000 0.0000  4 Ga 3.14, 4 Hg 3.14
Ga 0.7500 0.7500 0.7500  4 Cd 3.14, 4 Hg 3.14
Hg 0.2500 0.2500 0.2500  4 Cd 3.14, 4 Hg 3.14
Hg 0.5000 0.5000 0.5000  4 Ga 3.14, 4 Hg 3.14

Output
Crystal system: cubic
ρ (Mg/m³): 10.18
Uncorrected energy (eV per atom): -1.05
Symmetry: No. 216



3.
A geometry-optimized TbDyAg2O4 structure, computed with PBE-GGA.

Lattice parameters (Å, degrees): 3.5016 3.5016 12.4838 90.00 90.00 120.00
Last column: nearest neighbours and their distance in Å.
Fractional positions:
Tb 0.0000 0.0000 0.0000  6 O 2.28
Dy 0.0000 0.0000 0.5000  6 O 2.28
Ag 0.3333 0.6667 0.2506  2 O 2.07
Ag 0.6667 0.3333 0.7494  2 O 2.07
O 0.3333 0.6667 0.0850  1 Ag 2.07, 3 Tb 2.28
O 0.3333 0.6667 0.4162  1 Ag 2.07, 3 Dy 2.28
O 0.6667 0.3333 0.5838  1 Ag 2.07, 3 Dy 2.28
O 0.6667 0.3333 0.9150  1 Ag 2.07, 3 Tb 2.28

Output
Crystal system: trigonal
ρ (Mg/m³): 7.53
Uncorrected energy (eV per atom): -6.61
Symmetry: No. 164



4.
A geometry-optimized TbDyAg6 structure, computed with PBE-GGA.

Lattice parameters (Å, degrees): 5.0191 6.1102 5.2118 90.00 90.00 90.00
Last column: nearest neighbours and their distance in Å.
Fractional positions:
Tb 0.0000 0.0000 0.0000  12 Ag 3.01-3.08
Dy 0.5000 0.5000 0.6931  12 Ag 3.01-3.08
Ag 0.0000 0.2544 0.5054  8 Ag 2.93-3.11, 2 Tb 3.01-3.06, 2 Dy 3.08
Ag 0.0000 0.5000 0.0219  8 Ag 2.93-3.08, 2 Dy 3.04, 2 Tb 3.06
Ag 0.0000 0.7456 0.5054  8 Ag 2.93-3.11, 2 Tb 3.01-3.06, 2 Dy 3.08
Ag 0.5000 0.0000 0.6708  8 Ag 2.93-3.09, 2 Tb 3.04, 2 Dy 3.06
Ag 0.5000 0.2461 0.1878  8 Ag 2.93-3.10, 2 Dy 3.01-3.06, 2 Tb 3.08
Ag 0.5000 0.7539 0.1878  8 Ag 2.93-3.10, 2 Dy 3.01-3.06, 2 Tb 3.08

Output
Crystal system: orthorhombic
ρ (Mg/m³): 10.06
Formation energy (kJ per mole of atoms): -25.3
Symmetry: No. 25



5.
A geometry-optimized Ba2LiIrSe6 structure, computed with PBE-GGA.

Lattice parameters (Å, degrees): 7.1332 7.1332 7.1332 120.06 120.06 89.90
Last column: nearest neighbours and their distance in Å.
Fractional positions:
Ba 0.2500 0.7500 0.5000  12 Se 3.56-3.57
Ba 0.7500 0.2500 0.5000  12 Se 3.56-3.57
Li 0.0000 0.0000 0.0000  6 Se 2.54-2.55
Ir 0.5000 0.5000 0.0000  6 Se 2.50
Se 0.2524 0.2524 0.5049  1 Ir 2.50, 1 Li 2.54
Se 0.2524 0.7476 0.0000  1 Ir 2.50, 1 Li 2.54
Se 0.2528 0.2528 0.0000  1 Ir 2.50, 1 Li 2.55
Se 0.7472 0.7472 0.0000  1 Ir 2.50, 1 Li 2.55
Se 0.7476 0.2524 0.0000  1 Ir 2.50, 1 Li 2.54
Se 0.7476 0.7476 0.4951  1 Ir 2.50, 1 Li 2.54

Output
Crystal system: tetragonal
ρ (Mg/m³): 6.14
Uncorrected energy (eV per atom): -4.42
Symmetry: No. 139



6.
A geometry-optimized Zr2Tl structure, computed with PBE-GGA.

Lattice parameters (Å, degrees): 5.6048 5.6048 5.0673 90.00 90.00 120.00
Last column: nearest neighbours and their distance in Å.
Fractional positions:
Zr 0.0000 0.0000 0.0000  6 Zr 3.23, 6 Tl 3.24
Zr 0.0000 0.6413 0.5000  4 Tl 3.11, 6 Zr 3.12-3.23
Zr 0.3587 0.3587 0.5000  4 Tl 3.11, 6 Zr 3.12-3.23
Zr 0.6413 0.0000 0.5000  4 Tl 3.11, 6 Zr 3.12-3.23
Tl 0.3333 0.6667 0.0000  9 Zr 3.11-3.24, 3 Tl 3.24
Tl 0.6667 0.3333 0.0000  9 Zr 3.11-3.24, 3 Tl 3.24

Output
Crystal system: hexagonal
ρ (Mg/m³): 9.32
Uncorrected energy (eV per atom): -6.45
Symmetry: No. 189



7.
A geometry-optimized B4Mo3As structure, computed with PBE-GGA.

Lattice parameters (Å, degrees): 3.0771 3.1474 8.7464 90.00 90.00 90.00
Last column: nearest neighbours and their distance in Å.
Fractional positions:
B 0.0000 0.0000 0.1053  3 B 1.78-1.84
B 0.0000 0.0000 0.8947  3 B 1.78-1.84
B 0.5000 0.0000 0.2079  2 B 1.78
B 0.5000 0.0000 0.7921  2 B 1.78
Mo 0.0000 0.5000 0.2980  6 B 2.31-2.34
Mo 0.0000 0.5000 0.7020  6 B 2.31-2.34
Mo 0.5000 0.5000 0.0000  12 B 2.39-2.40
As 0.5000 0.0000 0.5000  2 B 2.55, 8 Mo 2.82

Output
Crystal system: orthorhombic
ρ (Mg/m³): 7.96
Uncorrected energy (eV per atom): -8.23
Symmetry: No. 47



8.
A geometry-optimized Ho2Si structure, computed with PBE-GGA.

Lattice parameters (Å, degrees): 6.0082 6.0082 6.0082 60.00 60.00 60.00
Last column: nearest neighbours and their distance in Å.
Fractional positions:
Ho 0.0000 0.0000 0.0000  6 Ho 3.00
Ho 0.0000 0.0000 0.5000  6 Ho 3.00
Ho 0.0000 0.5000 0.0000  6 Ho 3.00
Ho 0.5000 0.0000 0.0000  6 Ho 3.00
Si 0.3750 0.3750 0.3750  12 Ho 3.52, 4 Si 3.68
Si 0.6250 0.6250 0.6250  12 Ho 3.52, 4 Si 3.68

Output
Crystal system: cubic
ρ (Mg/m³): 7.75
Uncorrected energy (eV per atom): -4.37
Symmetry: No. 227